# 1
DFT (SCAN) results for a PBEsol-optimized structure of Cd2AsRh.

Cell lengths 9.781, 3.097, 4.669 Å; angles 90.00, 100.81, 90.00 degrees
Space group C2/m (No. 12)
Symmetry-distinct sites (fractional):
Cd1 0.239 0.000 0.240
As1 0.000 0.000 0.500
Rh1 0.000 0.500 0.000

Values from the calculation:
E_tot, eV/atom: -28.64
M_tot, μB per cell: 0.00
ΔH_f (0 K), eV/f.u.: 0.2

# 2
DFT (SCAN) results for a PBEsol-optimized structure of Cd2AsRh.

Cell lengths 2.994, 2.994, 8.151 Å; angles 90.00, 90.00, 90.00 degrees
Space group P4mm (No. 99)
Symmetry-distinct sites (fractional):
Cd1 0.000 0.000 0.000
Cd2 0.500 0.500 0.284
As1 0.500 0.500 0.691
Rh1 0.000 0.000 0.525

Values from the calculation:
E_tot, eV/atom: -28.89
M_tot, μB per cell: 0.00
ΔH_f (0 K), eV/f.u.: -0.8

# 3
DFT (SCAN) results for a PBEsol-optimized structure of Cd2AsRh.

Cell lengths 3.1402, 3.1402, 26.0496 Å; angles 90.00, 90.00, 120.00 degrees
Space group R3m (No. 160, hexagonal axes)
Symmetry-distinct sites (fractional):
Cd1 0.0000 0.0000 0.0000
Cd2 0.0000 0.0000 0.2380
As1 0.0000 0.0000 0.4755
Rh1 0.0000 0.0000 0.7491

Values from the calculation:
E_tot, eV/atom: -28.89
M_tot, μB per cell: 0.00
ΔH_f (0 K), eV/f.u.: -0.8

# 4
DFT (SCAN) results for a PBEsol-optimized structure of CdAs2RhSe.

Cell lengths 4.619, 4.619, 5.285 Å; angles 90.00, 90.00, 90.00 degrees
Space group P4/mmm (No. 123)
Symmetry-distinct sites (fractional):
Cd1 0.000 0.000 0.000
As1 0.000 0.500 0.500
Rh1 0.500 0.500 0.500
Se1 0.500 0.500 0.000

Values from the calculation:
E_tot, eV/atom: -24.63
M_tot, μB per cell: 0.50
Formation energy (no corrections), eV per atom: 0.30

# 5
DFT (SCAN) results for a PBEsol-optimized structure of CdAsRu.

Cell lengths 3.049, 3.049, 10.962 Å; angles 90.00, 90.00, 90.00 degrees
Space group I4mm (No. 107)
Symmetry-distinct sites (fractional):
Cd1 0.000 0.000 0.000
As1 0.000 0.000 0.713
Ru1 0.000 0.000 0.325

Values from the calculation:
E_tot, eV/atom: -28.58
M_tot, μB per cell: 0.00
ΔH_f (0 K), eV/f.u.: -0.3

# 6
DFT (SCAN) results for a PBEsol-optimized structure of CdSb2As2.

Cell lengths 5.386, 5.386, 9.022 Å; angles 90.00, 90.00, 90.00 degrees
Space group I4/mmm (No. 139)
Symmetry-distinct sites (fractional):
Cd1 0.000 0.000 0.000
Sb1 0.000 0.000 0.334
As1 0.000 0.500 0.250

Values from the calculation:
E_tot, eV/atom: -28.82
M_tot, μB per cell: 0.00
Formation energy (no corrections), eV per atom: 0.25

# 7
DFT (SCAN) results for a PBEsol-optimized structure of Cd2SbAsSe.

Cell lengths 5.305, 5.305, 5.353 Å; angles 90.00, 90.00, 90.00 degrees
Space group P4/mmm (No. 123)
Symmetry-distinct sites (fractional):
Cd1 0.000 0.500 0.000
Sb1 0.000 0.000 0.000
As1 0.000 0.000 0.500
Se1 0.500 0.500 0.500

Values from the calculation:
E_tot, eV/atom: -27.04
M_tot, μB per cell: 0.00
Formation energy (no corrections), eV per atom: 0.63

# 8
DFT (SCAN) results for a PBEsol-optimized structure of CdSbAsSe2.

Cell lengths 5.082, 5.082, 5.021 Å; angles 90.00, 90.00, 90.00 degrees
Space group P4/mmm (No. 123)
Symmetry-distinct sites (fractional):
Cd1 0.000 0.000 0.000
Sb1 0.500 0.500 0.500
As1 0.000 0.000 0.500
Se1 0.000 0.500 0.000

Values from the calculation:
E_tot, eV/atom: -24.91
M_tot, μB per cell: 0.00
Formation energy (no corrections), eV per atom: 0.70

# 9
DFT (SCAN) results for a PBEsol-optimized structure of Sc2CdAs.

Cell lengths 4.276, 5.165, 7.783 Å; angles 90.00, 90.00, 90.00 degrees
Space group Cmm2 (No. 35)
Symmetry-distinct sites (fractional):
Sc1 0.000 0.000 0.000
Sc2 0.000 0.500 0.299
Cd1 0.000 0.000 0.569
As1 0.000 0.500 0.810

Values from the calculation:
E_tot, eV/atom: -20.11
M_tot, μB per cell: 0.00
Energy relative to the lowest polymorph listed for this composition, kJ/mol of formula units: 161.3
ΔH_f (0 K), eV/f.u.: -1.4

# 10
DFT (SCAN) results for a PBEsol-optimized structure of Sc2CdAs.

Cell lengths 3.1907, 3.1907, 30.3111 Å; angles 90.00, 90.00, 120.00 degrees
Space group R-3m (No. 166, hexagonal axes)
Symmetry-distinct sites (fractional):
Sc1 0.0000 0.0000 0.0870
Cd1 0.0000 0.0000 0.5000
As1 0.0000 0.0000 0.0000

Values from the calculation:
E_tot, eV/atom: -19.81
M_tot, μB per cell: 0.00
Energy relative to the lowest polymorph listed for this composition, kJ/mol of formula units: 276.4
ΔH_f (0 K), eV/f.u.: -0.2

# 11
DFT (SCAN) results for a PBEsol-optimized structure of Sc3CdAs.

Cell lengths 5.121, 5.121, 5.121 Å; angles 90.00, 90.00, 90.00 degrees
Space group Pm-3m (No. 221)
Symmetry-distinct sites (fractional):
Sc1 0.000 0.000 0.500
Cd1 0.000 0.000 0.000
As1 0.500 0.500 0.500

Values from the calculation:
E_tot, eV/atom: -18.41
M_tot, μB per cell: 0.00
ΔH_f (0 K), eV/f.u.: 1.3

# 12
DFT (SCAN) results for a PBEsol-optimized structure of Sc2CdAs.

Cell lengths 3.517, 3.519, 6.306 Å; angles 90.00, 90.50, 90.00 degrees
Space group P2/m (No. 10)
Symmetry-distinct sites (fractional):
Sc1 0.004 0.000 0.271
Cd1 0.500 0.500 0.000
As1 0.500 0.500 0.500

Values from the calculation:
E_tot, eV/atom: -20.53
M_tot, μB per cell: 1.02
Energy relative to the lowest polymorph listed for this composition, kJ/mol of formula units: 0.0
ΔH_f (0 K), eV/f.u.: -3.0

# 13
DFT (SCAN) results for a PBEsol-optimized structure of ScCdAsSe2.

Cell lengths 5.042, 5.042, 5.091 Å; angles 90.00, 90.00, 90.00 degrees
Space group P4/mmm (No. 123)
Symmetry-distinct sites (fractional):
Sc1 0.000 0.000 0.000
Cd1 0.500 0.500 0.500
As1 0.000 0.000 0.500
Se1 0.000 0.500 0.000

Values from the calculation:
E_tot, eV/atom: -21.21
M_tot, μB per cell: 0.00
Formation energy (no corrections), eV per atom: -0.21

# 14
DFT (SCAN) results for a PBEsol-optimized structure of CdSiAs2Se.

Cell lengths 4.749, 4.749, 4.817 Å; angles 90.00, 90.00, 90.00 degrees
Space group P4/mmm (No. 123)
Symmetry-distinct sites (fractional):
Cd1 0.000 0.000 0.000
Si1 0.500 0.500 0.500
As1 0.000 0.500 0.500
Se1 0.500 0.500 0.000

Values from the calculation:
E_tot, eV/atom: -19.64
M_tot, μB per cell: 0.67
Formation energy (no corrections), eV per atom: 0.54

# 15
DFT (SCAN) results for a PBEsol-optimized structure of CdAsWSe2.

Cell lengths 5.007, 5.007, 4.915 Å; angles 90.00, 90.00, 90.00 degrees
Space group P4/mmm (No. 123)
Symmetry-distinct sites (fractional):
Cd1 0.000 0.000 0.000
As1 0.000 0.000 0.500
W1 0.500 0.500 0.500
Se1 0.000 0.500 0.000

Values from the calculation:
E_tot, eV/atom: -30.43
M_tot, μB per cell: 2.60
Formation energy (no corrections), eV per atom: 1.66

# 16
DFT (SCAN) results for a PBEsol-optimized structure of ZnCdAsSe2.

Cell lengths 4.964, 4.964, 4.627 Å; angles 90.00, 90.00, 90.00 degrees
Space group P4/mmm (No. 123)
Symmetry-distinct sites (fractional):
Zn1 0.000 0.000 0.000
Cd1 0.500 0.500 0.500
As1 0.000 0.000 0.500
Se1 0.000 0.500 0.000

Values from the calculation:
E_tot, eV/atom: -20.39
M_tot, μB per cell: 0.00
Formation energy (no corrections), eV per atom: 0.47

# 17
DFT (SCAN) results for a PBEsol-optimized structure of CdSi2As.

Cell lengths 3.337, 4.580, 9.375 Å; angles 90.00, 90.00, 90.00 degrees
Space group Immm (No. 71)
Symmetry-distinct sites (fractional):
Cd1 0.000 0.000 0.000
Si1 0.000 0.500 0.219
As1 0.000 0.000 0.500

Values from the calculation:
E_tot, eV/atom: -17.08
M_tot, μB per cell: 0.00
Energy relative to the lowest polymorph listed for this composition, kJ/mol of formula units: 15.9
Formation energy (no corrections), eV per atom: 0.58

# 18
DFT (SCAN) results for a PBEsol-optimized structure of Cd2SiAs.

Cell lengths 6.813, 6.813, 6.813 Å; angles 90.00, 90.00, 90.00 degrees
Space group F-43m (No. 216)
Symmetry-distinct sites (fractional):
Cd1 0.000 0.000 0.000
Cd2 0.250 0.250 0.250
Si1 0.000 0.000 0.500
As1 0.250 0.250 0.750

Values from the calculation:
E_tot, eV/atom: -22.27
M_tot, μB per cell: 0.00
Formation energy (no corrections), eV per atom: 0.49

# 19
DFT (SCAN) results for a PBEsol-optimized structure of CdSiAs.

Cell lengths 3.272, 4.720, 15.039 Å; angles 90.00, 90.00, 90.00 degrees
Space group Fmm2 (No. 42)
Symmetry-distinct sites (fractional):
Cd1 0.000 0.000 0.000
Si1 0.000 0.000 0.677
As1 0.000 0.000 0.309

Values from the calculation:
E_tot, eV/atom: -19.73
M_tot, μB per cell: 0.00
Formation energy (no corrections), eV per atom: 0.47

# 20
DFT (SCAN) results for a PBEsol-optimized structure of CdSi2As.

Cell lengths 3.358, 4.547, 9.432 Å; angles 90.00, 90.00, 90.00 degrees
Space group Imm2 (No. 44)
Symmetry-distinct sites (fractional):
Cd1 0.000 0.000 0.000
Si1 0.000 0.000 0.503
Si2 0.000 0.500 0.798
As1 0.000 0.500 0.205

Values from the calculation:
E_tot, eV/atom: -17.12
M_tot, μB per cell: 0.00
Energy relative to the lowest polymorph listed for this composition, kJ/mol of formula units: 0.0
Formation energy (no corrections), eV per atom: 0.54